Entry 1:
# LiCu2NiN

An optimized crystal structure of LiCu2NiN (PBE, the Alexandria database).

It has space group P4/mmm (No. 123), with a = 4.379 Å, b = 4.379 Å, c = 4.350 Å, α = 90.00°, β = 90.00° and γ = 90.00°. The asymmetric unit holds Li at (0.000, 0.000, 0.000), Cu at (0.000, 0.500, 0.500), Ni at (0.000, 0.000, 0.500) and N at (0.500, 0.500, 0.000).

The theoretical density is 4.117 g cm⁻³. The calculation puts the uncorrected energy at -3.254 eV per atom. The value obtained for the density of states at the Fermi level is 3.864 states/eV/f.u. The crystal system is tetragonal. For the energy relative to the elements, uncorrected, the calculation gives 1.5889 eV/atom.

---

Entry 2:
# PrNp2PaAs4

An optimized crystal structure of PrNp2PaAs4 (PBE, the Alexandria database).

It has space group P2/m (No. 10), with a = 7.169 Å, b = 4.161 Å, c = 7.223 Å, α = 90.00°, β = 109.56° and γ = 90.00°. The asymmetric unit holds Pr at (0.000, 0.000, 0.000), Np at (0.500, 0.000, 0.500), Np at (0.500, 0.500, 0.000), Pa at (0.000, 0.500, 0.500), As at (0.252, 0.000, 0.744) and As at (0.259, 0.500, 0.261).

The theoretical density is 9.369 g cm⁻³. The calculation puts the uncorrected energy at -8.319 eV per atom. The value obtained for the density of states at the Fermi level is 22.156 states/eV/f.u. The crystal system is monoclinic.

---

Entry 3:
# La5Ho4Cd4

An optimized crystal structure of La5Ho4Cd4 (PBE, the Alexandria database).

It has space group I4/m (No. 87), with a = 12.510 Å, b = 12.510 Å, c = 5.248 Å, α = 90.00°, β = 90.00° and γ = 90.00°. The asymmetric unit holds La at (0.000, 0.000, 0.000), La at (0.113, 0.813, 0.500), Ho at (0.096, 0.600, 0.000) and Cd at (0.093, 0.245, 0.000).

The theoretical density is 7.294 g cm⁻³. The calculation puts the uncorrected energy at -3.749 eV per atom. The value obtained for the density of states at the Fermi level is 14.219 states/eV/f.u. The crystal system is tetragonal.

---

Entry 4:
# PmCdHgO

An optimized crystal structure of PmCdHgO (PBE, the Alexandria database).

It has space group P4/nmm (No. 129, origin choice 2), with a = 4.073 Å, b = 4.073 Å, c = 11.096 Å, α = 90.00°, β = 90.00° and γ = 90.00°. The asymmetric unit holds Pm at (0.250, 0.250, 0.102), Cd at (0.250, 0.750, 0.500), Hg at (0.250, 0.250, 0.716) and O at (0.250, 0.750, 0.000).

The theoretical density is 8.554 g cm⁻³. The calculation puts the uncorrected energy at -4.234 eV per atom. The value obtained for the density of states at the Fermi level is 2.530 states/eV/f.u. The crystal system is tetragonal. For the energy relative to the elements, uncorrected, the calculation gives -1.5025 eV/atom.

---

Entry 5:
# Rb2NpPa2Se6

An optimized crystal structure of Rb2NpPa2Se6 (PBE, the Alexandria database).

It has space group C2/m (No. 12), with a = 7.228 Å, b = 12.533 Å, c = 8.620 Å, α = 90.00°, β = 106.02° and γ = 90.00°. The asymmetric unit holds Rb at (0.000, 0.166, 0.000), Np at (0.000, 0.000, 0.500), Pa at (0.000, 0.334, 0.500), Se at (0.226, 0.500, 0.696) and Se at (0.233, 0.170, 0.695).

The theoretical density is 5.946 g cm⁻³. The calculation puts the uncorrected energy at -6.309 eV per atom. The value obtained for the density of states at the Fermi level is 16.855 states/eV/f.u. The crystal system is monoclinic. For the energy relative to the elements, uncorrected, the calculation gives -1.3293 eV/atom.

---

Entry 6:
# LiThGa2Rh4

An optimized crystal structure of LiThGa2Rh4 (PBE, the Alexandria database).

It has space group R-3m (No. 166, hexagonal axes), with a = 4.2767 Å, b = 4.2767 Å, c = 24.3030 Å, α = 90.00°, β = 90.00° and γ = 120.00°. The asymmetric unit holds Li at (0.0000, 0.0000, 0.0000), Th at (0.0000, 0.0000, 0.5000), Ga at (0.0000, 0.0000, 0.2668), Rh at (0.0000, 0.0000, 0.1044) and Rh at (0.0000, 0.0000, 0.3726).

The theoretical density is 10.224 g cm⁻³. The calculation puts the uncorrected energy at -6.329 eV per atom. The value obtained for the density of states at the Fermi level is 3.036 states/eV/f.u. The crystal system is trigonal.

---

Entry 7:
# ZrZn2SiPb

An optimized crystal structure of ZrZn2SiPb (PBE, the Alexandria database).

It has space group P4/mmm (No. 123), with a = 5.217 Å, b = 5.217 Å, c = 5.082 Å, α = 90.00°, β = 90.00° and γ = 90.00°. The asymmetric unit holds Zr at (0.000, 0.000, 0.000), Zn at (0.000, 0.500, 0.000), Si at (0.000, 0.000, 0.500) and Pb at (0.500, 0.500, 0.500).

The theoretical density is 5.491 g cm⁻³. The calculation puts the uncorrected energy at -3.397 eV per atom. The value obtained for the density of states at the Fermi level is 3.212 states/eV/f.u. The crystal system is tetragonal. For the energy relative to the elements, uncorrected, the calculation gives 0.6487 eV/atom.

---

Entry 8:
# TaSbCl2

An optimized crystal structure of TaSbCl2 (PBE, the Alexandria database).

It has space group R-3m (No. 166, hexagonal axes), with a = 3.1461 Å, b = 3.1461 Å, c = 37.1121 Å, α = 90.00°, β = 90.00° and γ = 120.00°. The asymmetric unit holds Ta at (0.0000, 0.0000, 0.0000), Sb at (0.0000, 0.0000, 0.5000) and Cl at (0.0000, 0.0000, 0.3817).

The theoretical density is 5.851 g cm⁻³. The calculation puts the uncorrected energy at -5.374 eV per atom. The value obtained for the density of states at the Fermi level is 1.826 states/eV/f.u. The crystal system is trigonal. For the energy relative to the elements, uncorrected, the calculation gives -0.4570 eV/atom.

---

Entry 9:
# TiNbCo2

An optimized crystal structure of TiNbCo2 (PBE, the Alexandria database).

It has space group P4/mmm (No. 123), with a = 4.289 Å, b = 4.289 Å, c = 3.050 Å, α = 90.00°, β = 90.00° and γ = 90.00°. The asymmetric unit holds Ti at (0.000, 0.000, 0.000), Nb at (0.500, 0.500, 0.000) and Co at (0.000, 0.500, 0.500).

The theoretical density is 7.656 g cm⁻³. The calculation puts the uncorrected energy at -8.233 eV per atom. The value obtained for the density of states at the Fermi level is 4.254 states/eV/f.u. The crystal system is tetragonal.

---

Entry 10:
# KTlS2

An optimized crystal structure of KTlS2 (PBE, the Alexandria database).

It has space group Cm (No. 8), with a = 16.603 Å, b = 4.596 Å, c = 8.688 Å, α = 90.00°, β = 117.30° and γ = 90.00°. The asymmetric unit holds K at (0.000, 0.000, 0.000), K at (0.233, 0.500, 0.930), Tl at (0.076, 0.500, 0.416), Tl at (0.273, 0.000, 0.361), S at (0.152, 0.500, 0.190), S at (0.195, 0.000, 0.648), S at (0.338, 0.000, 0.791) and S at (0.378, 0.000, 0.058).

The theoretical density is 3.468 g cm⁻³. The calculation puts the uncorrected energy at -3.513 eV per atom. The value obtained for the density of states at the Fermi level is 0.000 states/eV/f.u. The crystal system is monoclinic. For the energy relative to the elements, uncorrected, the calculation gives -0.5834 eV/atom.

---

Entry 11:
# Pr2Ga3Pt5

An optimized crystal structure of Pr2Ga3Pt5 (PBE, the Alexandria database).

It has space group Ibam (No. 72), with a = 9.955 Å, b = 13.558 Å, c = 5.823 Å, α = 90.00°, β = 90.00° and γ = 90.00°. The asymmetric unit holds Pr at (0.228, 0.141, 0.000), Ga at (0.000, 0.000, 0.250), Ga at (0.151, 0.397, 0.000), Pt at (0.000, 0.287, 0.250), Pt at (0.000, 0.500, 0.250) and Pt at (0.106, 0.133, 0.500).

The theoretical density is 12.394 g cm⁻³. The calculation puts the uncorrected energy at -5.811 eV per atom. The value obtained for the density of states at the Fermi level is 5.802 states/eV/f.u. The crystal system is orthorhombic.

---

Entry 12:
# Pu2CdGa3Pd4

An optimized crystal structure of Pu2CdGa3Pd4 (PBE, the Alexandria database).

It has space group P-4m2 (No. 115), with a = 4.100 Å, b = 4.100 Å, c = 11.675 Å, α = 90.00°, β = 90.00° and γ = 90.00°. The asymmetric unit holds Pu at (0.000, 0.500, 0.247), Cd at (0.000, 0.000, 0.500), Ga at (0.000, 0.500, 0.872), Ga at (0.500, 0.500, 0.500), Pd at (0.000, 0.000, 0.000), Pd at (0.000, 0.500, 0.657) and Pd at (0.500, 0.500, 0.000).

The theoretical density is 10.450 g cm⁻³. The calculation puts the uncorrected energy at -6.463 eV per atom. The value obtained for the density of states at the Fermi level is 26.256 states/eV/f.u. The crystal system is tetragonal.